(1)
First-principles (PBE) data for an optimized crystal structure of BaPPb2, as listed in the Alexandria database.

abc: 5.0481 5.0481 9.4686
angles: 90.00 90.00 90.00
With the nearest neighbours (Å) after each atom.
Space group I-4m2 (No. 119)
Unique sites:
Ba 0.0000 0.0000 0.0000 (multiplicity 2)  8 Pb 3.46-3.57, 4 P 3.46
P 0.0000 0.5000 0.7500 (multiplicity 2)  4 Ba 3.46, 8 Pb 3.46-3.57
Pb 0.0000 0.0000 0.5000 (multiplicity 2)  4 Pb 3.46, 4 P 3.46, 4 Ba 3.57
Pb 0.0000 0.5000 0.2500 (multiplicity 2)  4 Ba 3.46, 4 Pb 3.46, 4 P 3.57

Computed properties:
M_tot ... 0.0 μB per cell
Total energy ... -30.87 eV/cell
Mass density ... 8.0 g/cm3
N(E_F) ... 4.4 states/eV/cell

=====

(2)
First-principles (PBE) data for an optimized crystal structure of NaAlGa2, as listed in the Alexandria database.

abc: 4.7631 4.7631 17.7290
angles: 90.00 90.00 90.00
With the nearest neighbours (Å) after each atom.
Space group I-42d (No. 122)
Unique sites:
Na 0.0000 0.0000 0.0000 (multiplicity 4)  4 Ga 3.09, 4 Al 3.37
Al 0.0000 0.0000 0.5000 (multiplicity 4)  4 Ga 2.58
Ga 0.1233 0.2500 0.6250 (multiplicity 8)  2 Al 2.58, 2 Ga 2.66

Computed properties:
M_tot ... 0.0 μB per cell
Total energy ... -41.44 eV/cell
Mass density ... 3.1 g/cm3
N(E_F) ... 10.8 states/eV/cell

=====

(3)
First-principles (PBE) data for an optimized crystal structure of Na2UBS5, as listed in the Alexandria database.

abc: 3.7867 17.1521 12.6459
angles: 90.00 90.00 90.00
With the nearest neighbours (Å) after each atom.
Space group Cmc2_1 (No. 36)
Unique sites:
Na 0.0000 0.0926 0.0000 (multiplicity 4)  5 S 2.85-3.19
Na 0.0000 0.1034 0.6884 (multiplicity 4)  4 S 2.86-2.96
U 0.0000 0.1994 0.3798 (multiplicity 4)  6 S 2.47-2.72
B 0.0000 0.4220 0.7431 (multiplicity 4)  2 S 1.80-1.87
S 0.0000 0.0508 0.3399 (multiplicity 4)  2 B 2.30
S 0.0000 0.3067 0.0200 (multiplicity 4)  2 U 2.60
S 0.0000 0.3134 0.7266 (multiplicity 4)  1 B 1.87
S 0.0000 0.3423 0.3525 (multiplicity 4)  1 U 2.47
S 0.0000 0.4857 0.6304 (multiplicity 4)  1 B 1.80

Computed properties:
M_tot ... 4.0 μB per cell
Total energy ... -198.16 eV/cell
E_form (uncorrected) ... -922 meV per atom
Mass density ... 3.7 g/cm3
N(E_F) ... 16.1 states/eV/cell

=====

(4)
First-principles (PBE) data for an optimized crystal structure of Pm2CdOs, as listed in the Alexandria database.

abc: 7.2765 7.2765 7.2765
angles: 90.00 90.00 90.00
With the nearest neighbours (Å) after each atom.
Space group Fm-3m (No. 225)
Unique sites:
Pm 0.2500 0.2500 0.2500 (multiplicity 8)  4 Cd 3.15, 4 Os 3.15
Cd 0.0000 0.0000 0.0000 (multiplicity 4)  8 Pm 3.15
Os 0.0000 0.0000 0.5000 (multiplicity 4)  8 Pm 3.15

Computed properties:
M_tot ... 0.0 μB per cell
Total energy ... -88.02 eV/cell
ΔE to the lowest computed polymorph ... 79 meV/atom
Mass density ... 10.2 g/cm3
N(E_F) ... 15.6 states/eV/cell

=====

(5)
First-principles (PBE) data for an optimized crystal structure of BaErSn, as listed in the Alexandria database.

abc: 5.0257 5.0257 8.8495
angles: 90.00 90.00 90.00
With the nearest neighbours (Å) after each atom.
Space group P4/nmm (No. 129, origin choice 2)
Unique sites:
Ba 0.2500 0.2500 0.1490 (multiplicity 2)  5 Sn 3.73-3.78, 4 Er 4.00
Er 0.2500 0.7500 0.5000 (multiplicity 2)  4 Sn 3.19, 4 Er 3.55
Sn 0.2500 0.2500 0.7214 (multiplicity 2)  4 Er 3.19

Computed properties:
M_tot ... 2.0 μB per cell
Total energy ... -24.33 eV/cell
Mass density ... 6.3 g/cm3
N(E_F) ... 3.5 states/eV/cell

=====

(6)
First-principles (PBE) data for an optimized crystal structure of Ac2ZnGa6Pd, as listed in the Alexandria database.

abc: 12.6660 5.5823 8.9201
angles: 90.00 134.23 90.00
With the nearest neighbours (Å) after each atom.
Space group C2/m (No. 12)
Unique sites:
Ac 0.0337 0.0000 0.2849 (multiplicity 4)  11 Ga 3.28-3.66, 2 Zn 3.58, 2 Pd 3.59
Zn 0.0000 0.5000 0.5000 (multiplicity 2)  6 Ga 2.68-2.69
Ga 0.1593 0.5000 0.9106 (multiplicity 4)  1 Pd 2.64, 1 Zn 2.68, 4 Ga 2.72-2.74
Ga 0.2464 0.2496 0.2423 (multiplicity 8)  1 Pd 2.64, 1 Zn 2.69, 4 Ga 2.72-2.80
Pd 0.0000 0.5000 0.0000 (multiplicity 2)  6 Ga 2.64

Computed properties:
M_tot ... 0.0 μB per cell
Total energy ... -75.07 eV/cell
Mass density ... 7.7 g/cm3
N(E_F) ... 8.1 states/eV/cell

=====

(7)
First-principles (PBE) data for an optimized crystal structure of TbCuCl6, as listed in the Alexandria database.

abc: 5.4977 6.7453 7.1924
angles: 69.76 73.90 86.63
With the nearest neighbours (Å) after each atom.
Space group P-1 (No. 2)
Unique sites:
Tb 0.0000 0.0000 0.0000 (multiplicity 1)  6 Cl 2.56-2.74
Cu 0.5000 0.5000 0.0000 (multiplicity 1)  4 Cl 2.21-2.24
Cl 0.0275 0.8045 0.3676 (multiplicity 2)  1 Tb 2.56
Cl 0.2755 0.3758 0.8449 (multiplicity 2)  1 Cu 2.24
Cl 0.4220 0.8243 0.8213 (multiplicity 2)  1 Cu 2.21

Computed properties:
M_tot ... 0.0 μB per cell
Total energy ... -29.34 eV/cell
E_form (uncorrected) ... -1192 meV per atom
Mass density ... 3.0 g/cm3

=====

(8)
First-principles (PBE) data for an optimized crystal structure of CaZn3, as listed in the Alexandria database.

abc: 5.2381 4.2123 7.0950
angles: 90.00 90.00 90.00
With the nearest neighbours (Å) after each atom.
Space group Pmma (No. 51)
Unique sites:
Ca 0.2500 0.0000 0.1733 (multiplicity 2)  5 Zn 3.01-3.16
Zn 0.0000 0.5000 0.5000 (multiplicity 2)  8 Zn 2.62-2.84
Zn 0.2500 0.0000 0.6190 (multiplicity 2)  6 Zn 2.62-2.69
Zn 0.2500 0.5000 0.8555 (multiplicity 2)  4 Zn 2.69-2.84

Computed properties:
M_tot ... 0.0 μB per cell
Total energy ... -13.45 eV/cell
Mass density ... 5.0 g/cm3
N(E_F) ... 4.5 states/eV/cell